{"formula": "Li3Co4As4", "functional": "GGA-PBE", "state": "relaxed", "lattice_angstrom": [[-1.9953, 3.0755, 4.8615], [-0.9810, -5.9529, 0.8213], [5.9636, 0.9935, -0.7229]], "species": ["Li", "Li", "Li", "Co", "Co", "Co", "Co", "As", "As", "As", "As"], "fractional_positions": [[0.5000, 0.5000, 0.0000], [0.5000, 0.0000, 0.5000], [0.0000, 0.5000, 0.5000], [0.0000, 0.2611, 0.0000], [0.0000, 0.0000, 0.2611], [0.2611, 0.0000, 0.0000], [0.7389, 0.7389, 0.7389], [0.0000, 0.6223, 0.0000], [0.6223, 0.0000, 0.0000], [0.0000, 0.0000, 0.6223], [0.3777, 0.3777, 0.3777]], "formation_enthalpy_0k_mev_per_atom": -434, "e_tot_ev_per_atom": -5.230, "spacegroup": "I-43m"}

***

{"formula": "LiMnCoAs", "functional": "GGA-PBE", "state": "relaxed", "lattice_angstrom": [[4.0998, 0.0000, 0.0000], [2.0499, 3.5505, 0.0000], [2.0499, 1.1835, 3.3475]], "species": ["As", "Mn", "Co", "Li"], "fractional_positions": [[0.2500, 0.2500, 0.2500], [0.7500, 0.7500, 0.7500], [0.5000, 0.5000, 0.5000], [0.0000, 0.0000, 0.0000]], "formation_enthalpy_0k_mev_per_atom": -208, "e_tot_ev_per_atom": -5.918, "spacegroup": "F-43m"}

***

{"formula": "LiMnCoAs2", "functional": "GGA-PBE", "state": "relaxed", "lattice_angstrom": [[-0.5681, 1.6007, 4.1540], [-4.4300, -1.4163, -0.0601], [1.2443, -3.9637, 1.6975]], "species": ["As", "As", "Mn", "Co", "Li"], "fractional_positions": [[0.0000, 0.0000, 0.5000], [0.5000, 0.0000, 0.0000], [0.0000, 0.0000, 0.0000], [0.0000, 0.5000, 0.0000], [0.5000, 0.5000, 0.5000]], "formation_enthalpy_0k_mev_per_atom": 393, "e_tot_ev_per_atom": -5.105, "spacegroup": "P4/mmm"}